Density functional theory data (PBE) for an optimized crystal structure of Dy2Ho9Er.

Properties
E above lowest polymorph, eV/atom: 0.0000
Space group: P4/mmm
Formation energy from the elements, meV per atom: 22

Cell: 4.9753 4.9753 14.9280 Å, 90.00 90.00 90.00°
Sites, in units of the cell vectors:
Dy 0.0000 0.0000 0.3331
Dy 0.0000 0.0000 0.6669
Ho 0.5000 0.5000 0.0000
Ho 0.5000 0.5000 0.3330
Ho 0.5000 0.5000 0.6670
Ho 0.5000 0.0000 0.1662
Ho 0.5000 0.0000 0.5000
Ho 0.5000 0.0000 0.8338
Ho 0.0000 0.5000 0.1662
Ho 0.0000 0.5000 0.5000
Ho 0.0000 0.5000 0.8338
Er 0.0000 0.0000 0.0000

---

Density functional theory data (PBE) for an optimized crystal structure of ThGeN2.

Properties
Space group: R-3m
Formation energy (no corrections), eV/f.u.: 0.79

Cell: 3.2681 3.2681 6.8160 Å, 76.13 76.13 60.00°
Sites, in units of the cell vectors:
Ge 0.5000 0.5000 0.5000
Th 0.0000 0.0000 0.0000
N 0.1152 0.1152 0.6545
N 0.8848 0.8848 0.3455

---

Density functional theory data (PBE) for an optimized crystal structure of TePAu.

Properties
E above lowest polymorph, eV/atom: 0.0781
Space group: P1
Formation energy (no corrections), eV/f.u.: 0.25

Cell: 5.3245 5.7634 5.9420 Å, 66.20 85.02 67.22°
Sites, in units of the cell vectors:
Te 0.1511 0.7979 0.3426
Te 0.6615 0.5217 0.8855
P 0.5080 0.0548 0.6792
P 0.1707 0.2088 0.4014
Au 0.3303 0.2065 0.0040
Au 0.6914 0.4588 0.4142

---

Density functional theory data (PBE) for an optimized crystal structure of HPtRh2Au.

Properties
E above lowest polymorph, eV/atom: 0.0000
Space group: P4/mmm

Cell: 4.0117 4.0117 4.0077 Å, 90.00 90.00 90.00°
Sites, in units of the cell vectors:
Rh 0.0000 0.5000 0.0000
Rh 0.5000 0.0000 0.0000
Au 0.5000 0.5000 0.5000
Pt 0.0000 0.0000 0.5000
H 0.0000 0.0000 0.0000

---

| no. | E_tot (eV/atom) |
| --- | --- |
| 1 | -4.559 |
| 2 | -6.974 |
| 3 | -3.859 |
| 4 | -5.366 |